Mn3Cr2NiP6O24: relaxed, PBE with a Hubbard U.

abc: 8.4037 8.4037 8.4037
angles: 61.62 61.62 61.62
With the nearest neighbours (Å) after each atom.
Atoms (fractional coordinates):
O1 0.8161 0.0163 0.6048  1 P 1.50
Cr1 0.9993 0.9993 0.9993  6 O 2.06-2.09
O2 0.5876 0.2524 0.4367  1 P 1.60
P1 0.5470 0.2492 0.9551  4 O 1.52-1.58
P2 0.7506 0.0474 0.4520  4 O 1.50-1.60
Mn1 0.6450 0.6450 0.6450  6 O 1.95-2.10
O3 0.1099 0.4995 0.3278  1 P 1.54
O4 0.1765 0.9920 0.3942  1 P 1.52
Mn2 0.1441 0.1441 0.1441  6 O 1.95-2.08
O5 0.0163 0.6048 0.8161  1 P 1.50
O6 0.2443 0.9018 0.0699  1 P 1.58
O7 0.6847 0.8918 0.4830  1 P 1.52
O8 0.9420 0.7502 0.0991  1 P 1.56
O9 0.7502 0.0991 0.9420  1 P 1.56
Mn3 0.3560 0.3560 0.3560  6 O 1.90-2.02
O10 0.3278 0.1099 0.4995  1 P 1.54
O11 0.4367 0.5876 0.2524  1 P 1.60
O12 0.2524 0.4367 0.5876  1 P 1.60
O13 0.4830 0.6847 0.8918  1 P 1.52
O14 0.4995 0.3278 0.1099  1 P 1.54
P3 0.4520 0.7506 0.0474  4 O 1.50-1.60
O15 0.3942 0.1765 0.9920  1 P 1.52
O16 0.6048 0.8161 0.0163  1 P 1.50
Cr2 0.5000 0.5000 0.5000  6 O 2.09
O17 0.4067 0.7511 0.5585  1 P 1.58
O18 0.0991 0.9420 0.7502  1 P 1.56
P4 0.2492 0.9551 0.5470  4 O 1.52-1.58
P5 0.0474 0.4520 0.7506  4 O 1.50-1.60
O19 0.8918 0.4830 0.6847  1 P 1.52
O20 0.7511 0.5585 0.4067  1 P 1.58
O21 0.9920 0.3942 0.1765  1 P 1.52
O22 0.5585 0.4067 0.7511  1 P 1.58
P6 0.9551 0.5470 0.2492  4 O 1.52-1.58
Ni1 0.8571 0.8571 0.8571  6 O 1.99-2.12
O23 0.9018 0.0699 0.2443  1 P 1.58
O24 0.0699 0.2443 0.9018  1 P 1.58

Results
volume: 434.91 Å³ per cell
symmetry: No. 146
DFT total energy: -7.214 eV per atom